A plane-wave DFT calculation with SCAN was carried out for Ag2PbBr2 at its PBEsol-relaxed geometry.

```
5
Lattice="-3.940 -1.462 -2.191 1.452 -4.495 0.387 -1.324 2.569 5.792" Properties=species:S:1:pos:R:3 pbc="T T T"
Ag -1.968 -0.313 3.747
Pb 0.000 0.000 0.000
Br -3.254 -0.935 1.349
Br -0.558 -2.452 2.638
Ag -1.844 -3.074 0.241
```

Properties
DOS at the Fermi energy: 0.0993 states/eV per atom
E: -35.5222 eV per atom
ΔE_f (raw): -0.035 eV/atom
ρ: 7.779 Mg/m³

---

A plane-wave DFT calculation with SCAN was carried out for Ca3TaBe at its PBEsol-relaxed geometry.

```
5
Lattice="5.472 0.000 0.000 0.000 5.472 0.000 0.000 0.000 5.472" Properties=species:S:1:pos:R:3 pbc="T T T"
Ta 0.000 0.000 0.000
Be 2.736 2.736 2.736
Ca 0.000 2.736 0.000
Ca 0.000 0.000 2.736
Ca 2.736 0.000 0.000
```

Properties
DOS at the Fermi energy: 0.8649 states/eV per atom
E: -18.4804 eV per atom
ρ: 3.144 Mg/m³
ΔE_f: 1.51 eV/atom

---

> Which formula does entry 1 have?

Ag2PbBr2

---

> E of number 1 (Ag2PbBr2)?

-35.5222 eV per atom

---

Please write out number 2 again, unchanged.
A plane-wave DFT calculation with SCAN was carried out for Ca3TaBe at its PBEsol-relaxed geometry.

```
5
Lattice="5.472 0.000 0.000 0.000 5.472 0.000 0.000 0.000 5.472" Properties=species:S:1:pos:R:3 pbc="T T T"
Ta 0.000 0.000 0.000
Be 2.736 2.736 2.736
Ca 0.000 2.736 0.000
Ca 0.000 0.000 2.736
Ca 2.736 0.000 0.000
```

Properties
DOS at the Fermi energy: 0.8649 states/eV per atom
E: -18.4804 eV per atom
ρ: 3.144 Mg/m³
ΔE_f: 1.51 eV/atom